Entry 1:
A plane-wave DFT calculation with GGA-PBEsol was carried out for a relaxed structure of Mg4CoCu.

Output
**DFT total energy**: -60.57 eV/cell

a = 7.5805 Å, b = 7.5805 Å, c = 7.5805 Å
α = 90.00°, β = 90.00°, γ = 90.00°
With the nearest neighbours (Å) after each atom.
Space group F-43m (No. 216)
Asymmetric unit:
Mg  0.1248  0.1248  0.1248 x16  6 Mg 2.68
Co  0.2500  0.2500  0.7500 x4  12 Mg 3.14, 4 Cu 3.28
Cu  0.0000  0.0000  0.5000 x4  12 Mg 3.14, 4 Co 3.28

=====

Entry 2:
A plane-wave DFT calculation with GGA-PBEsol was carried out for a relaxed structure of MgCoCu3.

Output
**DFT total energy**: -15.08 eV/cell

a = 4.3149 Å, b = 4.3149 Å, c = 4.3149 Å
α = 90.00°, β = 90.00°, γ = 90.00°
With the nearest neighbours (Å) after each atom.
Space group Pm-3m (No. 221)
Asymmetric unit:
Mg  0.0000  0.0000  0.0000 x1  6 Cu 2.16
Co  0.5000  0.5000  0.5000 x1  12 Cu 3.05
Cu  0.0000  0.0000  0.5000 x3  2 Mg 2.16

=====

Entry 3:
A plane-wave DFT calculation with GGA-PBEsol was carried out for a relaxed structure of Mn2CoCu.

Output
**DFT total energy**: -123.34 eV/cell

a = 5.6261 Å, b = 5.6261 Å, c = 5.6261 Å
α = 90.00°, β = 90.00°, γ = 90.00°
With the nearest neighbours (Å) after each atom.
Space group F-43m (No. 216)
Asymmetric unit:
Mn  0.0000  0.0000  0.0000 x4  4 Mn 2.44, 4 Co 2.44
Mn  0.2500  0.2500  0.2500 x4  4 Mn 2.44, 4 Cu 2.44
Co  0.2500  0.2500  0.7500 x4  4 Mn 2.44, 4 Cu 2.44
Cu  0.0000  0.0000  0.5000 x4  4 Mn 2.44, 4 Co 2.44

=====

Entry 4:
A plane-wave DFT calculation with GGA-PBEsol was carried out for a relaxed structure of Mn2CoCu.

Output
**DFT total energy**: -30.76 eV/cell

a = 2.4222 Å, b = 3.5851 Å, c = 4.8561 Å
α = 90.00°, β = 90.00°, γ = 90.00°
With the nearest neighbours (Å) after each atom.
Space group Pmmm (No. 47)
Asymmetric unit:
Mn  0.0000  0.0000  0.2372 x2  4 Mn 2.30-2.55, 4 Co 2.45, 4 Cu 2.51
Co  0.5000  0.5000  0.0000 x1  2 Co 2.42, 2 Cu 2.43, 8 Mn 2.45
Cu  0.5000  0.5000  0.5000 x1  2 Cu 2.42, 2 Co 2.43, 8 Mn 2.51

=====

Entry 5:
A plane-wave DFT calculation with GGA-PBEsol was carried out for a relaxed structure of Mn2CoCu.

Output
**DFT total energy**: -30.87 eV/cell

a = 2.4771 Å, b = 3.9726 Å, c = 4.3469 Å
α = 90.00°, β = 90.00°, γ = 90.00°
With the nearest neighbours (Å) after each atom.
Space group Pmm2 (No. 25)
Asymmetric unit:
Mn  0.0000  0.0000  0.0000 x1  4 Mn 2.39-2.48, 4 Co 2.47, 4 Cu 2.50-2.51
Mn  0.0000  0.5000  0.3077 x1  4 Mn 2.39-2.48, 4 Co 2.47-2.53, 4 Cu 2.49
Co  0.5000  0.5000  0.8154 x1  2 Cu 2.41, 8 Mn 2.47-2.53, 2 Co 2.48
Cu  0.5000  0.0000  0.5015 x1  2 Co 2.41, 2 Cu 2.48, 8 Mn 2.49-2.51

=====

Entry 6:
A plane-wave DFT calculation with GGA-PBEsol was carried out for a relaxed structure of Mn2CoCu.

Output
**DFT total energy**: -62.29 eV/cell

a = 3.5343 Å, b = 3.5343 Å, c = 7.1219 Å
α = 90.00°, β = 90.00°, γ = 90.00°
With the nearest neighbours (Å) after each atom.
Space group I-4m2 (No. 119)
Asymmetric unit:
Mn  0.0000  0.0000  0.0000 x2  4 Co 2.50, 4 Mn 2.51, 4 Cu 2.51
Mn  0.0000  0.5000  0.2500 x2  4 Cu 2.50, 4 Mn 2.51, 4 Co 2.51
Co  0.0000  0.0000  0.5000 x2  8 Mn 2.50-2.51, 4 Cu 2.51
Cu  0.0000  0.5000  0.7500 x2  8 Mn 2.50-2.51, 4 Co 2.51

=====

Entry 7:
A plane-wave DFT calculation with GGA-PBEsol was carried out for a relaxed structure of Mn3Co3Cu2O16.

Output
**ΔE_f (raw)**: -2277 kJ/mol of formula units

a = 9.5783 Å, b = 5.5545 Å, c = 8.7880 Å
α = 90.00°, β = 91.68°, γ = 90.00°
With the nearest neighbours (Å) after each atom.
Space group Cm (No. 8)
Asymmetric unit:
Mn  0.0000  0.0000  0.0000 x2  6 O 1.76-1.92
Mn  0.0768  0.2490  0.4930 x4  6 O 1.81-1.90
Co  0.2478  0.2551  0.9885 x4  6 O 1.81-1.88
Co  0.3313  0.0000  0.4903 x2  6 O 1.84-1.89
Cu  0.3278  0.5000  0.7133 x2  6 O 1.93-2.03
Cu  0.4917  0.0000  0.2123 x2  6 O 1.91-1.99
O  0.9996  0.0000  0.5969 x2  2 Mn 1.83, 1 Cu 1.96
O  0.0812  0.2461  0.0933 x4  1 Mn 1.76, 1 Co 1.87, 1 Cu 1.97
O  0.1397  0.5000  0.3652 x2  2 Mn 1.90, 1 Cu 1.92
O  0.1595  0.0000  0.3799 x2  1 Co 1.89, 2 Mn 1.89
O  0.1616  0.0000  0.8806 x2  2 Co 1.88, 1 Mn 1.90
O  0.1770  0.5000  0.8700 x2  2 Co 1.83, 1 Cu 2.03
O  0.2443  0.2425  0.5948 x4  1 Mn 1.81, 1 Co 1.84, 1 Cu 1.93
O  0.3227  0.0000  0.0907 x2  2 Co 1.81, 1 Cu 1.91
O  0.3331  0.5000  0.1027 x2  1 Mn 1.86, 2 Co 1.86
O  0.4010  0.2815  0.8667 x4  1 Co 1.85, 1 Mn 1.92, 1 Cu 1.93
O  0.4164  0.2228  0.3679 x4  1 Co 1.84, 1 Mn 1.87, 1 Cu 1.99
O  0.4989  0.0000  0.6047 x2  1 Co 1.87, 2 Mn 1.87

=====

Entry 8:
A plane-wave DFT calculation with GGA-PBEsol was carried out for a relaxed structure of RbMn2CoCu.

Output
**DFT total energy**: -23.91 eV/cell

a = 4.6896 Å, b = 4.6896 Å, c = 5.5438 Å
α = 90.00°, β = 90.00°, γ = 90.00°
With the nearest neighbours (Å) after each atom.
Space group P4/mmm (No. 123)
Asymmetric unit:
Rb  0.0000  0.0000  0.0000 x1  2 Cu 2.77
Mn  0.0000  0.5000  0.5000 x2  2 Cu 2.34
Co  0.5000  0.5000  0.0000 x1  4 Rb 3.32, 8 Mn 3.63
Cu  0.0000  0.0000  0.5000 x1  4 Mn 2.34

=====

Entry 9:
A plane-wave DFT calculation with GGA-PBEsol was carried out for a relaxed structure of MnCoCu4Sn2S8.

Output
**ΔE_f (raw)**: -545 kJ/mol of formula units

a = 5.3383 Å, b = 6.5549 Å, c = 9.9932 Å
α = 90.24°, β = 105.49°, γ = 113.98°
With the nearest neighbours (Å) after each atom.
Space group P1 (No. 1)
Asymmetric unit:
Mn  0.0000  0.0000  0.0000 x1  4 S 2.35
Co  0.5008  0.5037  0.4990 x1  4 S 2.21
Cu  0.2434  0.7475  0.7441 x1  4 S 2.27
Cu  0.3716  0.6241  0.1282 x1  4 S 2.26-2.27
Cu  0.7559  0.2546  0.2550 x1  4 S 2.26-2.27
Cu  0.8770  0.1288  0.6208 x1  4 S 2.27-2.28
Sn  0.1308  0.8773  0.3784 x1  4 S 2.46
Sn  0.6179  0.3755  0.8705 x1  4 S 2.45-2.46
S  0.0906  0.6952  0.9382 x1  2 Cu 2.26-2.27, 1 Mn 2.35, 1 Sn 2.45
S  0.1976  0.5438  0.3135 x1  1 Co 2.21, 2 Cu 2.26, 1 Sn 2.46
S  0.2941  0.4435  0.6683 x1  1 Co 2.21, 2 Cu 2.27, 1 Sn 2.46
S  0.4420  0.3178  0.0761 x1  2 Cu 2.27, 1 Mn 2.35, 1 Sn 2.45
S  0.5880  0.2179  0.4427 x1  1 Co 2.21, 2 Cu 2.26-2.27, 1 Sn 2.46
S  0.6812  0.0451  0.8011 x1  2 Cu 2.27-2.28, 1 Mn 2.35, 1 Sn 2.45
S  0.7896  0.9410  0.1830 x1  2 Cu 2.27, 1 Mn 2.35, 1 Sn 2.46
S  0.9137  0.8056  0.5719 x1  1 Co 2.21, 2 Cu 2.27, 1 Sn 2.46

=====

Entry 10:
A plane-wave DFT calculation with GGA-PBEsol was carried out for a relaxed structure of CoCuMo2.

Output
**DFT total energy**: -69.53 eV/cell

a = 8.6890 Å, b = 2.5922 Å, c = 4.6709 Å
α = 90.00°, β = 98.41°, γ = 90.00°
With the nearest neighbours (Å) after each atom.
Space group Cm (No. 8)
Asymmetric unit:
Co  0.0000  0.0000  0.0000 x2  7 Mo 2.56-2.74, 2 Co 2.59, 3 Cu 2.60-2.68
Cu  0.2419  0.5000  0.2521 x2  7 Mo 2.55-2.76, 2 Cu 2.59, 3 Co 2.60-2.68
Mo  0.2584  0.0000  0.7764 x2  3 Co 2.56-2.61, 5 Mo 2.59-2.82, 4 Cu 2.59-2.76
Mo  0.4931  0.0000  0.4807 x2  3 Cu 2.55-2.63, 5 Mo 2.59-2.82, 4 Co 2.60-2.74

=====

Entry 11:
A plane-wave DFT calculation with GGA-PBEsol was carried out for a relaxed structure of Co2CuMo.

Output
**DFT total energy**: -30.62 eV/cell

a = 2.4833 Å, b = 4.0954 Å, c = 4.6778 Å
α = 90.00°, β = 95.63°, γ = 90.00°
With the nearest neighbours (Å) after each atom.
Space group P2/m (No. 10)
Asymmetric unit:
Co  0.2353  0.0000  0.2604 x2  2 Cu 2.43, 5 Co 2.48-2.63, 2 Mo 2.50
Cu  0.0000  0.5000  0.5000 x1  4 Co 2.43, 2 Cu 2.48, 2 Mo 2.54
Mo  0.5000  0.5000  0.0000 x1  2 Mo 2.48, 4 Co 2.50, 4 Cu 2.54-2.75

=====

Entry 12:
A plane-wave DFT calculation with GGA-PBEsol was carried out for a relaxed structure of Co2CuMo.

Output
**DFT total energy**: -30.95 eV/cell

a = 3.6932 Å, b = 3.6932 Å, c = 3.3726 Å
α = 90.00°, β = 90.00°, γ = 90.00°
With the nearest neighbours (Å) after each atom.
Space group P4/mmm (No. 123)
Asymmetric unit:
Co  0.0000  0.5000  0.0000 x2  4 Mo 2.50, 4 Cu 2.50, 4 Co 2.61
Cu  0.0000  0.0000  0.5000 x1  8 Co 2.50, 4 Mo 2.61
Mo  0.5000  0.5000  0.5000 x1  8 Co 2.50, 4 Cu 2.61

=====

Entry 13:
A plane-wave DFT calculation with GGA-PBEsol was carried out for a relaxed structure of Co2CuMo.

Output
**DFT total energy**: -91.85 eV/cell

a = 2.5786 Å, b = 2.5786 Å, c = 25.1249 Å
α = 90.00°, β = 90.00°, γ = 120.00°
With the nearest neighbours (Å) after each atom.
Space group R3m (No. 160, hexagonal axes)
Asymmetric unit:
Co  0.0000  0.0000  0.0000 x3  9 Co 2.40-2.58, 3 Cu 2.52
Co  0.0000  0.0000  0.2583 x3  9 Co 2.40-2.58, 3 Mo 2.63
Cu  0.0000  0.0000  0.7478 x3  3 Co 2.52, 6 Cu 2.58, 3 Mo 2.73
Mo  0.0000  0.0000  0.5055 x3  6 Mo 2.58, 3 Co 2.63, 3 Cu 2.73